VASP calculation (PBE-GGA) on a relaxed structure of ScFe4Ag.

extended XYZ file:
```
6
Lattice="4.285 0.248 2.409 2.244 4.341 0.589 0.201 2.082 4.455" Properties=species:S:1:pos:R:3 pbc="T T T"
Sc 5.048 5.003 5.590
Fe 4.657 2.631 3.998
Fe 2.630 3.541 5.013
Fe 3.644 4.662 3.094
Fe 2.530 2.508 2.802
Ag 0.000 0.000 0.000
```

Summary:
Its total moment is 1.44 μB per atom. Its energy of formation from the pure elements is -0.1 eV per formula unit.

VASP calculation (PBE-GGA) on a relaxed structure of PtWCl.

extended XYZ file:
```
3
Lattice="-1.185 0.853 -2.546 -1.214 -2.198 1.520 -3.946 4.490 3.340" Properties=species:S:1:pos:R:3 pbc="T T T"
Cl -3.751 4.269 3.176
Pt -2.664 0.480 1.400
W -3.875 2.887 1.078
```

Summary:
Its total moment is 0.00 μB per atom. The raw formation energy comes out at 0.09 eV/atom.

VASP calculation (PBE-GGA) on a relaxed structure of MoCl2.

extended XYZ file:
```
3
Lattice="-2.605 -3.364 -1.451 0.765 -2.241 3.821 -2.454 1.348 1.282" Properties=species:S:1:pos:R:3 pbc="T T T"
Mo 0.000 0.000 0.000
Cl -0.844 -0.447 2.552
Cl -2.530 -1.008 -0.085
```

Summary:
Its total moment is 0.97 μB per atom. The raw formation energy comes out at 0.06 eV/atom.

VASP calculation (PBE-GGA) on a relaxed structure of HfRhAu2.

extended XYZ file:
```
8
Lattice="-0.782 4.751 0.338 -3.822 -0.931 4.252 5.445 0.803 1.306" Properties=species:S:1:pos:R:3 pbc="T T T"
Hf -0.587 0.999 1.838
Hf 1.429 3.624 4.058
Rh 2.145 1.405 2.439
Rh -1.303 3.218 3.456
Au 0.238 0.941 4.553
Au 0.603 3.681 1.343
Au -2.486 0.540 3.897
Au 3.327 4.083 1.999
```

Summary:
Its total moment is 0.00 μB per atom. Its energy of formation from the pure elements is -2.3 eV per formula unit.